The following is a DFT calculation (PBE-GGA) of a relaxed structure of La3Hg3PdAu2.

a b c (Å): 8.021 8.021 4.037
angles (deg): 90.00 90.00 120.00
Fractional coordinates of all 9 atoms:
Au1 0.667 0.333 0.500
Au2 0.333 0.667 0.500
Hg1 0.256 0.000 0.500
Hg2 0.000 0.256 0.500
Hg3 0.744 0.744 0.500
La1 0.602 0.000 0.000
La2 0.398 0.398 0.000
La3 0.000 0.602 0.000
Pd1 0.000 0.000 0.000

space group	No. 189
ΔE_f	-0.7078	eV/atom


The following is a DFT calculation (PBE-GGA) of a relaxed structure of ErTm2Ga3CuNi2.

a b c (Å): 3.679 7.067 7.067
angles (deg): 120.02 90.00 90.00
Fractional coordinates of all 9 atoms:
Cu1 0.000 0.000 0.000
Er1 0.000 0.412 0.412
Ga1 0.500 0.999 0.257
Ga2 0.500 0.743 0.743
Ga3 0.500 0.257 0.999
Ni1 0.500 0.667 0.333
Ni2 0.500 0.333 0.667
Tm1 0.000 0.589 0.000
Tm2 0.000 0.000 0.589

space group	No. 38


The following is a DFT calculation (PBE-GGA) of a relaxed structure of ZnHgTeO.

a b c (Å): 7.212 7.212 6.036
angles (deg): 90.00 90.00 32.81
Fractional coordinates of all 8 atoms:
Hg1 0.669 0.669 0.484
Hg2 0.331 0.331 0.984
O1 0.930 0.930 0.045
O2 0.070 0.070 0.545
Te1 0.662 0.662 0.005
Te2 0.338 0.338 0.505
Zn1 0.958 0.958 0.359
Zn2 0.042 0.042 0.859

space group	No. 36
energy above the lowest structure with this stoichiometry	121.1	meV/atom


The following is a DFT calculation (PBE-GGA) of a relaxed structure of TaAl2W.

a b c (Å): 4.493 4.493 4.493
angles (deg): 60.00 60.00 60.00
Fractional coordinates of all 4 atoms:
Al1 0.250 0.250 0.250
Al2 0.500 0.500 0.500
Ta1 0.750 0.750 0.750
W1 0.000 0.000 0.000

space group	No. 216


The following is a DFT calculation (PBE-GGA) of a relaxed structure of YZnCuMo.

a b c (Å): 4.672 4.672 4.672
angles (deg): 60.00 60.00 60.00
Fractional coordinates of all 4 atoms:
Cu1 0.750 0.750 0.750
Mo1 0.500 0.500 0.500
Y1 0.250 0.250 0.250
Zn1 0.000 0.000 0.000

space group	No. 216
energy above the lowest structure with this stoichiometry	80.0	meV/atom
ΔE_f	0.5150	eV/atom


The following is a DFT calculation (PBE-GGA) of a relaxed structure of RbPrTm.

a b c (Å): 6.014 6.014 6.014
angles (deg): 60.00 60.00 60.00
Fractional coordinates of all 3 atoms:
Pr1 0.250 0.250 0.250
Rb1 0.750 0.750 0.750
Tm1 0.000 0.000 0.000

space group	No. 216


The following is a DFT calculation (PBE-GGA) of a relaxed structure of ErTePSe3.

a b c (Å): 6.952 7.121 8.149
angles (deg): 86.59 86.54 79.83
Fractional coordinates of all 12 atoms:
Er1 0.209 0.705 0.062
Er2 0.791 0.295 0.938
P1 0.677 0.739 0.178
P2 0.323 0.261 0.822
Se1 0.399 0.287 0.084
Se2 0.862 0.970 0.191
Se3 0.407 0.782 0.336
Se4 0.593 0.218 0.664
Se5 0.138 0.030 0.809
Se6 0.601 0.713 0.916
Te1 0.926 0.459 0.255
Te2 0.074 0.541 0.745

space group	No. 2


The following is a DFT calculation (PBE-GGA) of a relaxed structure of Sm3GeS2.

a b c (Å): 7.081 7.081 7.081
angles (deg): 146.19 131.82 60.15
Fractional coordinates of all 6 atoms:
Ge1 0.000 0.000 0.000
S1 0.334 0.334 0.000
S2 0.666 0.666 0.000
Sm1 0.500 0.000 0.500
Sm2 0.832 0.332 0.500
Sm3 0.168 0.668 0.500

space group	No. 71


The following is a DFT calculation (PBE-GGA) of a relaxed structure of ErTmHf.

a b c (Å): 5.144 5.144 5.144
angles (deg): 60.00 60.00 60.00
Fractional coordinates of all 3 atoms:
Er1 0.250 0.250 0.250
Hf1 0.000 0.000 0.000
Tm1 0.750 0.750 0.750

space group	No. 216
energy above the lowest structure with this stoichiometry	0.0	meV/atom
ΔE_f	0.8556	eV/atom


The following is a DFT calculation (PBE-GGA) of a relaxed structure of SbAsOsO.

a b c (Å): 4.014 4.014 8.573
angles (deg): 90.00 90.00 90.00
Fractional coordinates of all 8 atoms:
As1 0.750 0.750 0.335
As2 0.250 0.250 0.665
O1 0.750 0.250 0.000
O2 0.250 0.750 0.000
Os1 0.750 0.250 0.500
Os2 0.250 0.750 0.500
Sb1 0.250 0.250 0.134
Sb2 0.750 0.750 0.866

space group	No. 129
energy above the lowest structure with this stoichiometry	0.0	meV/atom


The following is a DFT calculation (PBE-GGA) of a relaxed structure of CdNiHgB.

a b c (Å): 4.432 4.432 4.432
angles (deg): 60.00 60.00 60.00
Fractional coordinates of all 4 atoms:
B1 0.000 0.000 0.000
Cd1 0.750 0.750 0.750
Hg1 0.250 0.250 0.250
Ni1 0.500 0.500 0.500

space group	No. 216
energy above the lowest structure with this stoichiometry	0.0	meV/atom


The following is a DFT calculation (PBE-GGA) of a relaxed structure of TbY2Co2C2N3.

a b c (Å): 10.024 10.024 10.024
angles (deg): 160.15 160.15 28.22
Fractional coordinates of all 10 atoms:
C1 0.194 0.194 0.000
C2 0.806 0.806 0.000
Co1 0.750 0.250 0.500
Co2 0.250 0.750 0.500
N1 0.121 0.121 0.000
N2 0.500 0.500 0.000
N3 0.879 0.879 0.000
Tb1 0.000 0.000 0.000
Y1 0.373 0.373 0.000
Y2 0.627 0.627 0.000

space group	No. 139


The following is a DFT calculation (PBE-GGA) of a relaxed structure of RbFe3Sn5.

a b c (Å): 5.234 5.234 9.479
angles (deg): 90.00 90.00 120.00
Fractional coordinates of all 9 atoms:
Fe1 0.500 0.000 0.500
Fe2 0.000 0.500 0.500
Fe3 0.500 0.500 0.500
Rb1 0.000 0.000 0.000
Sn1 0.667 0.333 0.257
Sn2 0.333 0.667 0.257
Sn3 0.000 0.000 0.500
Sn4 0.667 0.333 0.743
Sn5 0.333 0.667 0.743

space group	No. 191


The following is a DFT calculation (PBE-GGA) of a relaxed structure of LiTc.

a b c (Å): 2.624 2.624 4.745
angles (deg): 90.00 90.00 120.00
Fractional coordinates of all 2 atoms:
Li1 0.667 0.333 0.750
Tc1 0.333 0.667 0.250

space group	No. 187
energy above the lowest structure with this stoichiometry	0.0	meV/atom


The following is a DFT calculation (PBE-GGA) of a relaxed structure of LiNpFe.

a b c (Å): 4.266 4.266 4.266
angles (deg): 60.00 60.00 60.00
Fractional coordinates of all 3 atoms:
Fe1 0.250 0.250 0.250
Li1 0.750 0.750 0.750
Np1 0.000 0.000 0.000

space group	No. 216
energy above the lowest structure with this stoichiometry	480.2	meV/atom


The following is a DFT calculation (PBE-GGA) of a relaxed structure of NaTlHg.

a b c (Å): 5.058 5.058 5.058
angles (deg): 60.00 60.00 60.00
Fractional coordinates of all 3 atoms:
Hg1 0.250 0.250 0.250
Na1 0.000 0.000 0.000
Tl1 0.750 0.750 0.750

space group	No. 216
energy above the lowest structure with this stoichiometry	56.4	meV/atom


The following is a DFT calculation (PBE-GGA) of a relaxed structure of MgCdSb.

a b c (Å): 4.942 4.942 4.942
angles (deg): 60.00 60.00 60.00
Fractional coordinates of all 3 atoms:
Cd1 0.750 0.750 0.750
Mg1 0.250 0.250 0.250
Sb1 0.000 0.000 0.000

space group	No. 216
energy above the lowest structure with this stoichiometry	0.0	meV/atom


The following is a DFT calculation (PBE-GGA) of a relaxed structure of BaDyPd.

a b c (Å): 5.021 5.021 5.021
angles (deg): 60.00 60.00 60.00
Fractional coordinates of all 3 atoms:
Ba1 0.000 0.000 0.000
Dy1 0.250 0.250 0.250
Pd1 0.750 0.750 0.750

space group	No. 216
energy above the lowest structure with this stoichiometry	712.8	meV/atom


The following is a DFT calculation (PBE-GGA) of a relaxed structure of Hg2IrPb.

a b c (Å): 4.967 4.967 4.967
angles (deg): 60.00 60.00 60.00
Fractional coordinates of all 4 atoms:
Hg1 0.000 0.000 0.000
Hg2 0.750 0.750 0.750
Ir1 0.250 0.250 0.250
Pb1 0.500 0.500 0.500

space group	No. 216


The following is a DFT calculation (PBE-GGA) of a relaxed structure of HfAgW2.

a b c (Å): 4.625 4.625 4.625
angles (deg): 60.00 60.00 60.00
Fractional coordinates of all 4 atoms:
Ag1 0.500 0.500 0.500
Hf1 0.750 0.750 0.750
W1 0.000 0.000 0.000
W2 0.250 0.250 0.250

space group	No. 216
ΔE_f	0.3331	eV/atom


Results for total energy: -3.749, -4.768, -2.893, -8.097, -5.059, -2.225, -4.645, -6.200, -5.476, -6.479, -2.472, -8.430, -5.183, -5.861, -6.603, -1.306, -2.245, -3.386, -2.783, -9.342 (in eV/atom, following the order of the records).